First-principles (PBE) data for a geometry-optimized YAlAg2 structure, as listed in Alexandria via LeMat-Bulk.

Cell: 9.1571 9.1571 9.1571 Å, 20.93 20.93 20.93°
Positions (direct):
Y (0.7500, 0.7500, 0.7500)
Al (0.2500, 0.2500, 0.2500)
Ag (0.9897, 0.9897, 0.9897)
Ag (0.5103, 0.5103, 0.5103)

ΔE_f: 42 meV/atom
Magnetic moment: 0.0 μB per cell
DFT total energy: -3.93 eV/atom
Mass density: 6.42 Mg/m³